# 1
DFT (GGA-PBE) results for crystalline Rb5TiSe4 at its relaxed geometry.

The structure in POSCAR format:
```
Rb5TiSe4
1.0
-9.918 0.447 -0.931
0.724 -0.634 -8.014
-0.547 -10.509 0.782
Rb Ti Se
10 2 8
direct
0.239 0.735 0.191
0.761 0.735 0.191
0.500 0.145 0.000
0.239 0.735 0.809
0.761 0.735 0.809
0.261 0.265 0.691
0.739 0.265 0.691
0.000 0.855 0.500
0.739 0.265 0.309
0.261 0.265 0.309
0.000 0.211 0.000
0.500 0.789 0.500
0.000 0.039 0.198
0.209 0.383 0.000
0.791 0.383 0.000
0.000 0.039 0.802
0.500 0.961 0.698
0.291 0.617 0.500
0.709 0.617 0.500
0.500 0.961 0.302
```

Output
Distance to the lowest polymorph of the same formula in meV/atom: 0
V in Å³ per cell: 849.3
Density in g cm⁻³: 3.09

=====

# 2
DFT (GGA-PBE) results for crystalline BeSnSbPt2 at its relaxed geometry.

The structure in POSCAR format:
```
BeSnSbPt2
1.0
-3.678 -1.585 -1.874
0.662 -4.231 2.280
-2.379 1.472 3.424
Sb Sn Pt Be
1 1 2 1
direct
0.500 0.500 0.500
0.000 0.500 0.000
0.000 0.000 0.500
0.500 0.000 0.000
0.000 0.000 0.000
```

Output
VASP energy in eV/atom: -4.6706
V in Å³ per cell: 94.9
Density in g cm⁻³: 11.20

=====

# 3
DFT (GGA-PBE) results for crystalline TaCrW2 at its relaxed geometry.

The structure in POSCAR format:
```
TaCrW2
1.0
-0.149 3.965 1.964
1.049 -1.103 2.306
5.066 0.642 -0.912
Cr Ta W
1 1 2
direct
0.500 0.250 0.250
0.500 0.750 0.750
0.000 0.009 0.006
0.000 0.491 0.494
```

Output
Distance to the lowest polymorph of the same formula in meV/atom: 58
V in Å³ per cell: 62.5
Density in g cm⁻³: 15.96
DFT formation energy in eV per atom: 0.0268

=====

# 4
DFT (GGA-PBE) results for crystalline Al2TlTe at its relaxed geometry.

The structure in POSCAR format:
```
Al2TlTe
1.0
5.256 0.000 0.000
2.628 4.552 0.000
2.628 1.517 4.292
Tl Te Al
1 1 2
direct
0.750 0.750 0.750
0.500 0.500 0.500
0.000 0.000 0.000
0.250 0.250 0.250
```

Output
Distance to the lowest polymorph of the same formula in meV/atom: 283
V in Å³ per cell: 102.7
Density in g cm⁻³: 6.24

=====

# 5
DFT (GGA-PBE) results for crystalline Pm2SnRu2 at its relaxed geometry.

The structure in POSCAR format:
```
Pm2SnRu2
1.0
-5.512 -1.362 -0.329
3.347 -0.527 -4.752
1.462 -6.914 4.125
Pm Sn Ru
4 2 4
direct
0.490 0.289 0.146
0.201 0.711 0.354
0.510 0.711 0.854
0.799 0.289 0.646
0.866 0.000 0.250
0.134 0.000 0.750
0.700 0.709 0.490
0.990 0.291 0.010
0.300 0.291 0.510
0.010 0.709 0.990
```

Output
V in Å³ per cell: 228.7
Density in g cm⁻³: 8.87
DFT formation energy in eV per atom: -0.4426

=====

# 6
DFT (GGA-PBE) results for crystalline PSe at its relaxed geometry.

The structure in POSCAR format:
```
PSe
1.0
-0.495 -2.117 -2.447
-1.789 -1.884 1.991
-7.320 4.450 -2.369
P Se
2 2
direct
0.500 0.000 0.832
0.000 0.500 0.168
0.500 0.000 0.280
0.000 0.500 0.720
```

Output
Distance to the lowest polymorph of the same formula in meV/atom: 445
V in Å³ per cell: 95.2
Density in g cm⁻³: 3.83